Record 1
## AsPPt (PBE-GGA)

Data for an optimized crystal structure of AsPPt.

```
AsPPt
1.0
6.060 0.000 0.000
0.000 5.914 0.000
-1.212 0.000 5.929
As P Pt
4 4 4
direct
0.153 0.118 0.347
0.153 0.382 0.847
0.847 0.618 0.153
0.847 0.882 0.653
0.354 0.618 0.646
0.354 0.882 0.146
0.646 0.118 0.854
0.646 0.382 0.354
0.262 0.510 0.254
0.262 0.990 0.754
0.738 0.010 0.246
0.738 0.490 0.746
```

Computed properties:
- Spin magnetization: 0.0 μB per formula unit
- Final energy: -5.93 eV per atom

***

Record 2
## AsPPt2 (PBE-GGA)

Data for an optimized crystal structure of AsPPt2.

```
AsPPt2
1.0
3.426 0.000 0.000
0.000 3.464 0.000
0.000 0.000 5.738
As P Pt
1 1 2
direct
0.000 0.000 0.000
0.500 0.500 0.414
0.000 0.000 0.531
0.500 0.500 0.828
```

Computed properties:
- Spin magnetization: 0.0 μB per formula unit
- Final energy: -5.68 eV per atom

***

Record 3
## AsPPt2 (PBE-GGA)

Data for an optimized crystal structure of AsPPt2.

```
AsPPt2
1.0
2.832 0.000 0.000
0.000 4.552 0.000
0.000 0.000 4.969
As P Pt
1 1 2
direct
0.000 0.000 0.000
0.500 0.000 0.500
0.000 0.500 0.500
0.500 0.500 0.000
```

Computed properties:
- Spin magnetization: 0.0 μB per formula unit
- Final energy: -5.35 eV per atom

***

Record 4
## AsP2Pt2 (PBE-GGA)

Data for an optimized crystal structure of AsP2Pt2.

```
AsP2Pt2
1.0
7.427 0.000 0.000
0.000 7.427 0.000
0.000 0.000 2.958
As P Pt
2 4 4
direct
0.000 0.000 0.000
0.500 0.500 0.000
0.185 0.315 0.000
0.315 0.815 0.000
0.685 0.185 0.000
0.815 0.685 0.000
0.131 0.631 0.500
0.369 0.131 0.500
0.631 0.869 0.500
0.869 0.369 0.500
```

Computed properties:
- Spin magnetization: 0.0 μB per formula unit
- Final energy: -5.29 eV per atom

***

Record 5
## As4PPt (PBE-GGA)

Data for an optimized crystal structure of As4PPt.

```
As4PPt
1.0
0.000 3.844 3.844
3.844 0.000 3.844
3.844 3.844 0.000
As P Pt
4 1 1
direct
0.125 0.125 0.125
0.125 0.125 0.624
0.125 0.624 0.125
0.624 0.125 0.125
0.750 0.750 0.750
0.500 0.500 0.500
```

Computed properties:
- Spin magnetization: 0.0 μB per formula unit
- Final energy: -4.19 eV per atom

***

Record 6
## AsPPt2 (PBE-GGA)

Data for an optimized crystal structure of AsPPt2.

```
AsPPt2
1.0
3.813 -1.763 0.000
3.813 1.763 0.000
-0.214 0.000 5.238
As P Pt
1 1 2
direct
0.000 0.000 0.000
0.285 0.285 0.506
0.577 0.577 0.683
0.718 0.718 0.207
```

Computed properties:
- Spin magnetization: 0.0 μB per formula unit
- Final energy: -5.87 eV per atom

***

Record 7
## AsPPt (PBE-GGA)

Data for an optimized crystal structure of AsPPt.

```
AsPPt
1.0
3.532 0.000 0.000
-1.766 3.059 0.000
0.000 0.000 4.758
As P Pt
1 1 1
direct
0.000 0.000 0.000
0.667 0.333 0.388
0.333 0.667 0.664
```

Computed properties:
- Spin magnetization: 0.0 μB per formula unit
- Final energy: -5.54 eV per atom

***

Record 8
## AsP2Pt (PBE-GGA)

Data for an optimized crystal structure of AsP2Pt.

```
AsP2Pt
1.0
-1.380 2.504 4.756
1.380 -2.504 4.756
1.380 2.504 -4.756
As P Pt
1 2 1
direct
0.000 0.000 0.000
0.278 0.778 0.500
0.722 0.222 0.500
0.500 0.500 0.000
```

Computed properties:
- Spin magnetization: 0.0 μB per formula unit
- Final energy: -5.05 eV per atom